(1)
DFT (GGA-PBE) results for a relaxed Nd4Dy2Tm3 crystal.

Magnetization   0.000 μB/cell
Formation energy from the elements   0.02 eV/atom
Energy above the lowest structure with this stoichiometry   0 meV per atom

a = 11.270 Å, b = 5.092 Å, c = 10.745 Å
α = 90.00°, β = 107.94°, γ = 90.00°
Space group C2/m (No. 12)
Asymmetric unit:
Nd  0.001  0.000  0.333 [4 per cell]
Nd  0.167  0.500  0.888 [4 per cell]
Dy  0.169  0.500  0.225 [4 per cell]
Tm  0.000  0.000  0.000 [2 per cell]
Tm  0.166  0.500  0.553 [4 per cell]



(2)
DFT (GGA-PBE) results for a relaxed CePm2SmS4 crystal.

Magnetization   0.741 μB/cell
DFT total energy   -6.62 eV/atom

a = 6.975 Å, b = 4.013 Å, c = 6.980 Å
α = 90.00°, β = 109.35°, γ = 90.00°
Space group P2/m (No. 10)
Asymmetric unit:
Ce  0.000  0.000  0.000 [1 per cell]
Pm  0.500  0.000  0.500 [1 per cell]
Pm  0.500  0.500  0.000 [1 per cell]
Sm  0.000  0.500  0.500 [1 per cell]
S  0.248  0.000  0.749 [2 per cell]
S  0.249  0.500  0.250 [2 per cell]



(3)
DFT (GGA-PBE) results for a relaxed Al14Co5Si2 crystal.

Magnetization   0.000 μB/cell
DFT total energy   -5.10 eV/atom

a = 13.971 Å, b = 23.174 Å, c = 7.355 Å
α = 90.00°, β = 90.00°, γ = 90.00°
Space group Pnma (No. 62)
Asymmetric unit:
Al  0.002  0.250  0.079 [4 per cell]
Al  0.035  0.160  0.531 [8 per cell]
Al  0.037  0.530  0.875 [8 per cell]
Al  0.061  0.652  0.811 [8 per cell]
Al  0.068  0.581  0.227 [8 per cell]
Al  0.105  0.083  0.294 [8 per cell]
Al  0.117  0.081  0.899 [8 per cell]
Al  0.156  0.687  0.107 [8 per cell]
Al  0.157  0.660  0.491 [8 per cell]
Al  0.158  0.186  0.093 [8 per cell]
Al  0.174  0.189  0.738 [8 per cell]
Al  0.198  0.750  0.766 [4 per cell]
Al  0.204  0.524  0.411 [8 per cell]
Al  0.214  0.572  0.743 [8 per cell]
Al  0.236  0.079  0.596 [8 per cell]
Co  0.017  0.167  0.884 [8 per cell]
Co  0.049  0.750  0.596 [4 per cell]
Co  0.062  0.576  0.580 [8 per cell]
Co  0.155  0.003  0.099 [8 per cell]
Co  0.208  0.750  0.381 [4 per cell]
Co  0.210  0.163  0.401 [8 per cell]
Si  0.034  0.750  0.285 [4 per cell]
Si  0.063  0.028  0.586 [8 per cell]
Si  0.121  0.250  0.381 [4 per cell]



(4)
DFT (GGA-PBE) results for a relaxed Ca2Zr crystal.

Magnetization   0.128 μB/cell
Formation energy from the elements   0.28 eV/atom
Energy above the lowest structure with this stoichiometry   38 meV per atom

a = 3.469 Å, b = 20.294 Å, c = 5.487 Å
α = 90.00°, β = 90.00°, γ = 90.00°
Space group Cmcm (No. 63)
Asymmetric unit:
Ca  0.000  0.059  0.250 [4 per cell]
Ca  0.000  0.369  0.250 [4 per cell]
Zr  0.000  0.273  0.750 [4 per cell]



(5)
DFT (GGA-PBE) results for a relaxed In3MoPt crystal.

Magnetization   4.449 μB/cell
Formation energy from the elements   0.68 eV/atom
Energy above the lowest structure with this stoichiometry   0 meV per atom

a = 5.143 Å, b = 5.143 Å, c = 5.143 Å
α = 90.00°, β = 90.00°, γ = 90.00°
Space group Pm-3m (No. 221)
Asymmetric unit:
In  0.000  0.000  0.500 [3 per cell]
Mo  0.500  0.500  0.500 [1 per cell]
Pt  0.000  0.000  0.000 [1 per cell]



(6)
DFT (GGA-PBE) results for a relaxed Sc6SiPd5 crystal.

Magnetization   0.000 μB/cell
DFT total energy   -6.64 eV/atom

a = 4.727 Å, b = 6.491 Å, c = 7.477 Å
α = 90.00°, β = 108.44°, γ = 90.00°
Space group P2/m (No. 10)
Asymmetric unit:
Sc  0.000  0.250  0.000 [2 per cell]
Sc  0.335  0.250  0.667 [4 per cell]
Si  0.500  0.000  0.000 [1 per cell]
Pd  0.164  0.000  0.334 [2 per cell]
Pd  0.164  0.500  0.334 [2 per cell]
Pd  0.500  0.500  0.000 [1 per cell]



(7)
DFT (GGA-PBE) results for a relaxed LiAcRhO4 crystal.

Magnetization   3.127 μB/cell
DFT total energy   -6.61 eV/atom

a = 6.501 Å, b = 8.120 Å, c = 8.909 Å
α = 90.00°, β = 90.00°, γ = 90.00°
Space group Imma (No. 74)
Asymmetric unit:
Li  0.000  0.250  0.012 [4 per cell]
Ac  0.000  0.000  0.500 [4 per cell]
Rh  0.250  0.250  0.250 [4 per cell]
O  0.000  0.094  0.232 [8 per cell]
O  0.221  0.250  0.480 [8 per cell]



(8)
DFT (GGA-PBE) results for a relaxed HfTi5Ga3 crystal.

Magnetization   1.488 μB/cell
Formation energy from the elements   0.17 eV/atom
Energy above the lowest structure with this stoichiometry   553 meV per atom

a = 10.652 Å, b = 7.231 Å, c = 9.274 Å
α = 90.00°, β = 98.44°, γ = 90.00°
Space group C2/m (No. 12)
Asymmetric unit:
Hf  0.140  0.000  0.276 [4 per cell]
Ti  0.000  0.329  0.000 [4 per cell]
Ti  0.142  0.500  0.492 [4 per cell]
Ti  0.167  0.180  0.679 [8 per cell]
Ti  0.234  0.000  0.984 [4 per cell]
Ga  0.000  0.000  0.000 [2 per cell]
Ga  0.000  0.000  0.500 [2 per cell]
Ga  0.100  0.500  0.774 [4 per cell]
Ga  0.130  0.500  0.219 [4 per cell]



(9)
DFT (GGA-PBE) results for a relaxed ThScCd2 crystal.

Magnetization   0.000 μB/cell
Formation energy from the elements   -0.20 eV/atom
Energy above the lowest structure with this stoichiometry   0 meV per atom

a = 3.435 Å, b = 3.435 Å, c = 8.427 Å
α = 90.00°, β = 90.00°, γ = 90.00°
Space group P4/mmm (No. 123)
Asymmetric unit:
Th  0.000  0.000  0.000 [1 per cell]
Sc  0.000  0.000  0.500 [1 per cell]
Cd  0.500  0.500  0.280 [2 per cell]



(10)
DFT (GGA-PBE) results for a relaxed In2Sn2Hg5 crystal.

Magnetization   0.000 μB/cell
Formation energy from the elements   0.07 eV/atom

a = 17.025 Å, b = 7.060 Å, c = 8.294 Å
α = 90.00°, β = 90.00°, γ = 90.00°
Space group Ima2 (No. 46)
Asymmetric unit:
In  0.082  0.087  0.000 [8 per cell]
Sn  0.000  0.000  0.421 [4 per cell]
Sn  0.250  0.028  0.656 [4 per cell]
Hg  0.085  0.683  0.208 [8 per cell]
Hg  0.165  0.105  0.317 [8 per cell]
Hg  0.250  0.638  0.500 [4 per cell]



(11)
DFT (GGA-PBE) results for a relaxed Tl2ReRh crystal.

Magnetization   0.000 μB/cell
Formation energy from the elements   0.78 eV/atom
Energy above the lowest structure with this stoichiometry   363 meV per atom

a = 9.126 Å, b = 3.006 Å, c = 5.540 Å
α = 90.00°, β = 100.43°, γ = 90.00°
Space group C2/m (No. 12)
Asymmetric unit:
Tl  0.248  0.000  0.247 [4 per cell]
Re  0.000  0.000  0.500 [2 per cell]
Rh  0.000  0.500  0.000 [2 per cell]



(12)
DFT (GGA-PBE) results for a relaxed Cs2PCl2 crystal.

Magnetization   6.000 μB/cell
DFT total energy   -3.00 eV/atom

a = 9.535 Å, b = 9.535 Å, c = 4.453 Å
α = 90.00°, β = 90.00°, γ = 90.00°
Space group P4/mbm (No. 127)
Asymmetric unit:
Cs  0.153  0.347  0.000 [4 per cell]
P  0.000  0.000  0.500 [2 per cell]
Cl  0.148  0.648  0.500 [4 per cell]